[1]
# MgCoIr2 meta-GGA SCAN PBEsol geometry
# raw total energy = -165.1 eV per cell
# ΔH_f (0 K) = -0.167 eV/atom
data_MgCoIr2
_space_group_name_H-M_alt 'P 1'
_space_group_IT_number 1
_cell_length_a 2.7092
_cell_length_b 4.6088
_cell_length_c 4.6715
_cell_angle_alpha 100.92
_cell_angle_beta 90.00
_cell_angle_gamma 107.09
loop_
_space_group_symop_operation_xyz
'x,y,z'
loop_
_atom_site_label
_atom_site_fract_x
_atom_site_fract_y
_atom_site_fract_z
_atom_site_occupancy
Co1 0.0000 0.0000 0.5000 1
Ir1 0.7388 0.4776 0.7368 1
Ir2 0.2612 0.5224 0.2632 1
Mg1 0.5000 0.0000 0.0000 1

---

[2]
# SrSiTe meta-GGA SCAN PBEsol geometry
# raw total energy = -70.7 eV per cell
data_SrSiTe
_space_group_name_H-M_alt 'P 1'
_space_group_IT_number 1
_cell_length_a 4.0701
_cell_length_b 4.8659
_cell_length_c 4.8659
_cell_angle_alpha 120.00
_cell_angle_beta 90.00
_cell_angle_gamma 90.00
loop_
_space_group_symop_operation_xyz
'x,y,z'
loop_
_atom_site_label
_atom_site_fract_x
_atom_site_fract_y
_atom_site_fract_z
_atom_site_occupancy
Sr1 0.6668 0.3333 0.6667 1
Si1 0.1666 0.0000 0.0000 1
Te1 0.1666 0.6667 0.3333 1

---

[3]
# LaMg2In2 meta-GGA SCAN PBEsol geometry
# raw total energy = -243.5 eV per cell
# ΔH_f (0 K) = -0.383 eV/atom
data_LaMg2In2
_space_group_name_H-M_alt 'P 1'
_space_group_IT_number 1
_cell_length_a 3.2277
_cell_length_b 8.6925
_cell_length_c 8.6925
_cell_angle_alpha 90.00
_cell_angle_beta 90.00
_cell_angle_gamma 90.00
loop_
_space_group_symop_operation_xyz
'x,y,z'
loop_
_atom_site_label
_atom_site_fract_x
_atom_site_fract_y
_atom_site_fract_z
_atom_site_occupancy
Mg1 0.0000 0.3772 0.8772 1
Mg2 0.0000 0.8772 0.6228 1
Mg3 0.0000 0.6228 0.1228 1
Mg4 0.0000 0.1228 0.3772 1
In1 0.5000 0.1732 0.6732 1
In2 0.5000 0.6732 0.8268 1
In3 0.5000 0.8268 0.3268 1
In4 0.5000 0.3268 0.1732 1
La1 0.0000 0.0000 0.0000 1
La2 0.0000 0.5000 0.5000 1

---

[4]
# Sm2TlIn meta-GGA SCAN PBEsol geometry
# raw total energy = -197.1 eV per cell
# ΔH_f (0 K) = -0.618 eV/atom
data_Sm2TlIn
_space_group_name_H-M_alt 'P 1'
_space_group_IT_number 1
_cell_length_a 5.3451
_cell_length_b 5.3451
_cell_length_c 5.3451
_cell_angle_alpha 60.00
_cell_angle_beta 60.00
_cell_angle_gamma 60.00
loop_
_space_group_symop_operation_xyz
'x,y,z'
loop_
_atom_site_label
_atom_site_fract_x
_atom_site_fract_y
_atom_site_fract_z
_atom_site_occupancy
Tl1 0.0000 0.0000 0.0000 1
Sm1 0.7500 0.7500 0.7500 1
Sm2 0.2500 0.2500 0.2500 1
In1 0.5000 0.5000 0.5000 1

---

[5]
# NiIrSe2 meta-GGA SCAN PBEsol geometry
# raw total energy = -124.6 eV per cell
data_NiIrSe2
_space_group_name_H-M_alt 'P 1'
_space_group_IT_number 1
_cell_length_a 2.9429
_cell_length_b 4.2345
_cell_length_c 4.8336
_cell_angle_alpha 90.00
_cell_angle_beta 90.00
_cell_angle_gamma 90.00
loop_
_space_group_symop_operation_xyz
'x,y,z'
loop_
_atom_site_label
_atom_site_fract_x
_atom_site_fract_y
_atom_site_fract_z
_atom_site_occupancy
Ir1 0.5000 0.5000 0.0000 1
Ni1 0.0000 0.5000 0.5000 1
Se1 0.0000 0.0000 0.0000 1
Se2 0.5000 0.0000 0.5000 1

---

[6]
# Ti3Cr2CoP6O24 meta-GGA SCAN PBEsol geometry
# raw total energy = -406.1 eV per cell
data_Ti3Cr2CoP6O24
_space_group_name_H-M_alt 'P 1'
_space_group_IT_number 1
_cell_length_a 8.5770
_cell_length_b 8.5770
_cell_length_c 8.3968
_cell_angle_alpha 59.29
_cell_angle_beta 59.29
_cell_angle_gamma 60.00
loop_
_space_group_symop_operation_xyz
'x,y,z'
loop_
_atom_site_label
_atom_site_fract_x
_atom_site_fract_y
_atom_site_fract_z
_atom_site_occupancy
Ti1 0.1416 0.1416 0.5751 1
Ti2 0.3557 0.3557 0.9330 1
Ti3 0.6443 0.6443 0.0672 1
Cr1 0.9979 0.9979 0.0064 1
Cr2 0.4983 0.4983 0.5051 1
Co1 0.8594 0.8594 0.4219 1
P1 0.4572 0.0447 0.7450 1
P2 0.7531 0.4572 0.7450 1
P3 0.9540 0.2509 0.2508 1
P4 0.2509 0.5443 0.2508 1
P5 0.5443 0.9540 0.2508 1
P6 0.0447 0.7531 0.7450 1
O1 0.4846 0.1096 0.0716 1
O2 0.1096 0.3343 0.0716 1
O3 0.2546 0.0527 0.7820 1
O4 0.3343 0.4846 0.0716 1
O5 0.6094 0.0124 0.5583 1
O6 0.4297 0.2452 0.7324 1
O7 0.9107 0.2546 0.7820 1
O8 0.5928 0.4297 0.7324 1
O9 0.9978 0.1825 0.4368 1
O10 0.2452 0.5928 0.7324 1
O11 0.9528 0.0954 0.2116 1
O12 0.1825 0.3828 0.4368 1
O13 0.8198 0.6094 0.5583 1
O14 0.0527 0.9107 0.7820 1
O15 0.7537 0.4089 0.2778 1
O16 0.0124 0.8198 0.5583 1
O17 0.4089 0.5596 0.2778 1
O18 0.0954 0.7402 0.2116 1
O19 0.5596 0.7537 0.2778 1
O20 0.3828 0.9978 0.4368 1
O21 0.6818 0.5047 0.9308 1
O22 0.7402 0.9528 0.2116 1
O23 0.8827 0.6818 0.9308 1
O24 0.5047 0.8827 0.9308 1

---

[7]
# BeTlTc meta-GGA SCAN PBEsol geometry
# raw total energy = -110.0 eV per cell
# ΔH_f (0 K) = 0.600 eV/atom
data_BeTlTc
_space_group_name_H-M_alt 'P 1'
_space_group_IT_number 1
_cell_length_a 4.0182
_cell_length_b 4.0182
_cell_length_c 4.0182
_cell_angle_alpha 60.00
_cell_angle_beta 60.00
_cell_angle_gamma 60.00
loop_
_space_group_symop_operation_xyz
'x,y,z'
loop_
_atom_site_label
_atom_site_fract_x
_atom_site_fract_y
_atom_site_fract_z
_atom_site_occupancy
Be1 0.2500 0.2500 0.2500 1
Tl1 0.5000 0.5000 0.5000 1
Tc1 0.0000 0.0000 0.0000 1

---

[8]
# Al2SbCl meta-GGA SCAN PBEsol geometry
# raw total energy = -60.5 eV per cell
data_Al2SbCl
_space_group_name_H-M_alt 'P 1'
_space_group_IT_number 1
_cell_length_a 3.1863
_cell_length_b 3.1863
_cell_length_c 8.7984
_cell_angle_alpha 90.00
_cell_angle_beta 90.00
_cell_angle_gamma 111.79
loop_
_space_group_symop_operation_xyz
'x,y,z'
loop_
_atom_site_label
_atom_site_fract_x
_atom_site_fract_y
_atom_site_fract_z
_atom_site_occupancy
Sb1 0.5000 0.5000 0.0000 1
Al1 0.0000 0.0000 0.2643 1
Al2 0.0000 0.0000 0.7357 1
Cl1 0.5000 0.5000 0.5000 1

---

[9]
# Li2As meta-GGA SCAN PBEsol geometry
# raw total energy = -54.1 eV per cell
# ΔH_f (0 K) = -0.690 eV/atom
data_Li2As
_space_group_name_H-M_alt 'P 1'
_space_group_IT_number 1
_cell_length_a 2.9114
_cell_length_b 4.5178
_cell_length_c 7.2962
_cell_angle_alpha 90.00
_cell_angle_beta 90.00
_cell_angle_gamma 108.80
loop_
_space_group_symop_operation_xyz
'x,y,z'
loop_
_atom_site_label
_atom_site_fract_x
_atom_site_fract_y
_atom_site_fract_z
_atom_site_occupancy
As1 0.1291 0.2581 0.9015 1
As2 0.8709 0.7419 0.4015 1
Li1 0.4104 0.8208 0.7216 1
Li2 0.5896 0.1792 0.2216 1
Li3 0.1478 0.2955 0.5436 1
Li4 0.8522 0.7045 0.0436 1

---

[10]
# Cr2ReRu meta-GGA SCAN PBEsol geometry
# raw total energy = -142.5 eV per cell
# ΔH_f (0 K) = 0.047 eV/atom
data_Cr2ReRu
_space_group_name_H-M_alt 'P 1'
_space_group_IT_number 1
_cell_length_a 2.8814
_cell_length_b 4.2019
_cell_length_c 4.8874
_cell_angle_alpha 115.46
_cell_angle_beta 107.14
_cell_angle_gamma 90.00
loop_
_space_group_symop_operation_xyz
'x,y,z'
loop_
_atom_site_label
_atom_site_fract_x
_atom_site_fract_y
_atom_site_fract_z
_atom_site_occupancy
Cr1 0.0198 0.0198 0.0396 1
Cr2 0.7315 0.2315 0.4630 1
Re1 0.4884 0.4884 0.9768 1
Ru1 0.2603 0.7603 0.5207 1

---

[11]
# CuTcRh2 meta-GGA SCAN PBEsol geometry
# raw total energy = -117.6 eV per cell
# ΔH_f (0 K) = 0.056 eV/atom
data_CuTcRh2
_space_group_name_H-M_alt 'P 1'
_space_group_IT_number 1
_cell_length_a 3.6649
_cell_length_b 3.6649
_cell_length_c 4.6830
_cell_angle_alpha 113.04
_cell_angle_beta 113.04
_cell_angle_gamma 90.00
loop_
_space_group_symop_operation_xyz
'x,y,z'
loop_
_atom_site_label
_atom_site_fract_x
_atom_site_fract_y
_atom_site_fract_z
_atom_site_occupancy
Cu1 0.2500 0.7500 0.5000 1
Rh1 0.0000 0.0000 0.0000 1
Rh2 0.7500 0.2500 0.5000 1
Tc1 0.5000 0.5000 0.0000 1

---

[12]
# Sr2La2MgMnO8 meta-GGA SCAN PBEsol geometry
# raw total energy = -497.6 eV per cell
data_Sr2La2MgMnO8
_space_group_name_H-M_alt 'P 1'
_space_group_IT_number 1
_cell_length_a 5.4074
_cell_length_b 5.4139
_cell_length_c 12.4382
_cell_angle_alpha 90.00
_cell_angle_beta 90.00
_cell_angle_gamma 90.00
loop_
_space_group_symop_operation_xyz
'x,y,z'
loop_
_atom_site_label
_atom_site_fract_x
_atom_site_fract_y
_atom_site_fract_z
_atom_site_occupancy
Sr1 0.5000 0.0000 0.8567 1
Sr2 0.0000 0.5000 0.1441 1
Sr3 0.0000 0.0000 0.6420 1
Sr4 0.0000 0.0000 0.3585 1
La1 0.5000 0.0000 0.1374 1
La2 0.0000 0.5000 0.8627 1
La3 0.5000 0.5000 0.6412 1
La4 0.5000 0.5000 0.3600 1
Mg1 0.5000 0.5000 0.0000 1
Mg2 0.5000 0.0000 0.5015 1
Mn1 0.0000 0.0000 0.9999 1
Mn2 0.0000 0.5000 0.4977 1
O1 0.7542 0.2636 0.4990 1
O2 0.2458 0.7364 0.4990 1
O3 0.2458 0.2636 0.4990 1
O4 0.7542 0.7364 0.4990 1
O5 0.5000 0.0000 0.6666 1
O6 0.5000 0.0000 0.3231 1
O7 0.0000 0.5000 0.3430 1
O8 0.0000 0.5000 0.6670 1
O9 0.5000 0.5000 0.8264 1
O10 0.5000 0.5000 0.1747 1
O11 0.0000 0.0000 0.8429 1
O12 0.0000 0.0000 0.1581 1
O13 0.7592 0.2444 0.0001 1
O14 0.2408 0.7556 0.0001 1
O15 0.2408 0.2444 0.0001 1
O16 0.7592 0.7556 0.0001 1